DFT (PBE) results for a relaxed LiFeOs2 crystal.

a = 2.649 Å, b = 3.750 Å, c = 5.076 Å
α = 90.00°, β = 90.00°, γ = 90.00°
Space group Pmmm (No. 47)
One atom of each set of equivalent atoms:
Li: 0.000 0.000 0.000 [1 per cell]
Fe: 0.000 0.000 0.500 [1 per cell]
Os: 0.500 0.500 0.242 [2 per cell]

Properties
V: 50.4 Å³/cell
Magnetization: 0.00 μB per formula unit
N(E_F): 0.822 states/eV/atom
ΔE to the lowest computed polymorph: 186 meV per atom
DFT formation energy: 0.354 eV per atom


DFT (PBE) results for a relaxed Hg2WBr crystal.

a = 3.020 Å, b = 5.088 Å, c = 5.617 Å
α = 90.00°, β = 90.00°, γ = 90.00°
Space group Pmmm (No. 47)
One atom of each set of equivalent atoms:
Hg: 0.000 0.000 0.000 [1 per cell]
Hg: 0.500 0.500 0.000 [1 per cell]
W: 0.000 0.500 0.500 [1 per cell]
Br: 0.500 0.000 0.500 [1 per cell]

Properties
V: 86.3 Å³/cell
Magnetization: 1.47 μB per formula unit
N(E_F): 0.498 states/eV/atom
ΔE to the lowest computed polymorph: 479 meV per atom
Formation energy from raw total energies: 0.975 eV/atom


DFT (PBE) results for a relaxed Re2IrRu crystal.

a = 3.872 Å, b = 3.872 Å, c = 7.753 Å
α = 90.00°, β = 90.00°, γ = 90.00°
Space group I4/mmm (No. 139)
One atom of each set of equivalent atoms:
Re: 0.000 0.500 0.250 [4 per cell]
Ir: 0.000 0.000 0.000 [2 per cell]
Ru: 0.000 0.000 0.500 [2 per cell]

Properties
V: 116.3 Å³/cell
Magnetization: 0.00 μB per formula unit
N(E_F): 1.013 states/eV/atom
ΔE to the lowest computed polymorph: 131 meV per atom
DFT formation energy: -0.080 eV per atom


DFT (PBE) results for a relaxed CoNi3Br9 crystal.

a = 17.416 Å, b = 8.900 Å, c = 12.480 Å
α = 90.00°, β = 128.62°, γ = 90.00°
Space group Cc (No. 9)
One atom of each set of equivalent atoms:
Co: 0.000 0.213 0.000 [4 per cell]
Ni: 0.120 0.441 0.822 [4 per cell]
Ni: 0.267 0.052 0.779 [4 per cell]
Ni: 0.363 0.379 0.662 [4 per cell]
Br: 0.004 0.085 0.176 [4 per cell]
Br: 0.101 0.426 0.142 [4 per cell]
Br: 0.138 0.053 0.065 [4 per cell]
Br: 0.190 0.373 0.493 [4 per cell]
Br: 0.232 0.241 0.874 [4 per cell]
Br: 0.354 0.149 0.436 [4 per cell]
Br: 0.381 0.473 0.335 [4 per cell]
Br: 0.386 0.142 0.764 [4 per cell]
Br: 0.498 0.193 0.312 [4 per cell]

Properties
V: 1511.2 Å³/cell
Magnetization: 6.09 μB per formula unit
N(E_F): 0.600 states/eV/atom
Formation energy from raw total energies: -0.186 eV/atom